Compound: CaAcLa2Tl4
Source: Alexandria via LeMat-Bulk
Functional: PBE
Structure: optimized geometry

The spin magnetization is 0.0 μB/f.u.

The space group is R-3m (No. 166, hexagonal axes) and the conventional cell measures 5.6374, 5.6374 and 28.1297 Å, with angles of 90.00, 90.00 and 120.00 degrees. The inequivalent atoms are Ca at (0.0000, 0.0000, 0.0000), Ac at (0.0000, 0.0000, 0.5000), La at (0.0000, 0.0000, 0.2555), Tl at (0.0000, 0.0000, 0.1233) and Tl at (0.0000, 0.0000, 0.3743).

Compound: CaAcLaTm
Source: Alexandria via LeMat-Bulk
Functional: PBE
Structure: optimized geometry

The spin magnetization is 0.0 μB/f.u.

The space group is F-43m (No. 216) and the conventional cell measures 8.473, 8.473 and 8.473 Å, with angles of 90.00, 90.00 and 90.00 degrees. The inequivalent atoms are Ca at (0.000, 0.000, 0.000), Ac at (0.250, 0.250, 0.250), La at (0.250, 0.250, 0.750) and Tm at (0.000, 0.000, 0.500).

Compound: CaAc5La2Y
Source: Alexandria via LeMat-Bulk
Functional: PBE
Structure: optimized geometry

The spin magnetization is 0.0 μB/f.u.

The space group is Cmc2_1 (No. 36) and the conventional cell measures 5.979, 22.609 and 11.232 Å, with angles of 90.00, 90.00 and 90.00 degrees. The inequivalent atoms are Ca at (0.000, 0.099, 0.000), Ac at (0.000, 0.000, 0.250), Ac at (0.000, 0.128, 0.501), Ac at (0.000, 0.220, 0.190), Ac at (0.000, 0.220, 0.811), Ac at (0.000, 0.496, 0.500), La at (0.000, 0.384, 0.230), La at (0.000, 0.384, 0.771) and Y at (0.000, 0.301, 0.501).

Compound: CaAc2LaY
Source: Alexandria via LeMat-Bulk
Functional: PBE
Structure: optimized geometry

The spin magnetization is 0.0 μB/f.u.

The space group is P2/c (No. 13) and the conventional cell measures 9.234, 6.362 and 7.386 Å, with angles of 90.00, 97.19 and 90.00 degrees. The inequivalent atoms are Ca at (0.000, 0.014, 0.250), Ac at (0.330, 0.096, 0.588), La at (0.000, 0.500, 0.000) and Y at (0.500, 0.409, 0.250).

Compound: Li6Ca5Ac
Source: Alexandria via LeMat-Bulk
Functional: PBE
Structure: optimized geometry

The spin magnetization is 0.0 μB/f.u.

The space group is C2/m (No. 12) and the conventional cell measures 9.688, 16.922 and 5.673 Å, with angles of 90.00, 125.60 and 90.00 degrees. The inequivalent atoms are Li at (0.243, 0.000, 0.243), Li at (0.246, 0.169, 0.746), Ca at (0.000, 0.000, 0.500), Ca at (0.000, 0.166, 0.000), Ca at (0.000, 0.337, 0.500) and Ac at (0.000, 0.500, 0.000).

Compound: LiCaAc
Source: Alexandria via LeMat-Bulk
Functional: PBE
Structure: optimized geometry

The spin magnetization is 0.0 μB/f.u.

The space group is I4mm (No. 107) and the conventional cell measures 4.017, 4.017 and 13.327 Å, with angles of 90.00, 90.00 and 90.00 degrees. The inequivalent atoms are Li at (0.000, 0.000, 0.000), Ca at (0.000, 0.000, 0.366) and Ac at (0.000, 0.000, 0.659).

Compound: Li4CaAc
Source: Alexandria via LeMat-Bulk
Functional: PBE
Structure: optimized geometry

The spin magnetization is 0.0 μB/f.u.

The space group is F-43m (No. 216) and the conventional cell measures 8.807, 8.807 and 8.807 Å, with angles of 90.00, 90.00 and 90.00 degrees. The inequivalent atoms are Li at (0.124, 0.124, 0.124), Ca at (0.250, 0.250, 0.750) and Ac at (0.000, 0.000, 0.500).

Compound: LiCaAc2
Source: Alexandria via LeMat-Bulk
Functional: PBE
Structure: optimized geometry

The spin magnetization is 0.0 μB/f.u.

The space group is R3m (No. 160, hexagonal axes) and the conventional cell measures 3.8809, 3.8809 and 36.2638 Å, with angles of 90.00, 90.00 and 120.00 degrees. The inequivalent atoms are Li at (0.0000, 0.0000, 0.0000), Ca at (0.0000, 0.0000, 0.8329), Ac at (0.0000, 0.0000, 0.4107) and Ac at (0.0000, 0.0000, 0.5889).

Compound: LiCa4Ac2
Source: Alexandria via LeMat-Bulk
Functional: PBE
Structure: optimized geometry

The spin magnetization is 0.0 μB/f.u.

The space group is R-3m (No. 166, hexagonal axes) and the conventional cell measures 3.9283, 3.9283 and 64.4585 Å, with angles of 90.00, 90.00 and 120.00 degrees. The inequivalent atoms are Li at (0.0000, 0.0000, 0.0000), Ca at (0.0000, 0.0000, 0.0906), Ca at (0.0000, 0.0000, 0.3747) and Ac at (0.0000, 0.0000, 0.1914).

Compound: Li4Ca5Ac
Source: Alexandria via LeMat-Bulk
Functional: PBE
Structure: optimized geometry

The spin magnetization is 0.0 μB/f.u.

The space group is P4/mmm (No. 123) and the conventional cell measures 3.974, 3.974 and 21.277 Å, with angles of 90.00, 90.00 and 90.00 degrees. The inequivalent atoms are Li at (0.000, 0.000, 0.093), Li at (0.000, 0.000, 0.278), Ca at (0.500, 0.500, 0.000), Ca at (0.500, 0.500, 0.185), Ca at (0.500, 0.500, 0.370) and Ac at (0.000, 0.000, 0.500).

Compound: LiCaAc2
Source: Alexandria via LeMat-Bulk
Functional: PBE
Structure: optimized geometry

The spin magnetization is 0.0 μB/f.u.

The space group is P4/mmm (No. 123) and the conventional cell measures 6.041, 6.041 and 4.287 Å, with angles of 90.00, 90.00 and 90.00 degrees. The inequivalent atoms are Li at (0.000, 0.000, 0.000), Ca at (0.500, 0.500, 0.000) and Ac at (0.000, 0.500, 0.500).

Compound: LiCa3Ac
Source: Alexandria via LeMat-Bulk
Functional: PBE
Structure: optimized geometry

The spin magnetization is 0.0 μB/f.u.

The space group is P2_1/m (No. 11) and the conventional cell measures 9.776, 3.900 and 10.409 Å, with angles of 90.00, 104.48 and 90.00 degrees. The inequivalent atoms are Li at (0.240, 0.250, 0.408), Ca at (0.081, 0.750, 0.159), Ca at (0.143, 0.750, 0.639), Ca at (0.489, 0.750, 0.317) and Ac at (0.329, 0.250, 0.975).

Number 1: formation energy -0.41 eV/atom. Number 2: formation energy 0.09 eV/atom. Number 3: formation energy 0.15 eV/atom. Number 4: formation energy 0.38 eV/atom. Number 5: formation energy 0.04 eV/atom. Number 6: formation energy 0.07 eV/atom. Number 7: formation energy 0.05 eV/atom. Number 8: formation energy 0.10 eV/atom. Number 9: formation energy 0.05 eV/atom. Number 10: formation energy 0.03 eV/atom. Number 11: formation energy 0.11 eV/atom. Number 12: formation energy 0.04 eV/atom.